(1)
# NaGaCl2 | Alexandria via LeMat-Bulk | GGA-PBE | relaxed
# * energy above the lowest structure with this stoichiometry: 0.160 eV per formula unit
# * formation energy from raw total energies: -1.19 eV per atom
# * total energy: -3.2015 eV per atom
# * density of states at the Fermi level: 0.000 states/eV/atom
# * space group: R3m (160)
data_NaGaCl2
_space_group_name_H-M_alt 'P 1'
_space_group_IT_number 1
_space_group_name_Hall 'P 1'
_cell_length_a 4.044
_cell_length_b 4.044
_cell_length_c 22.058
_cell_angle_alpha 90.00
_cell_angle_beta 90.00
_cell_angle_gamma 120.00
loop_
_atom_site_label
_atom_site_type_symbol
_atom_site_fract_x
_atom_site_fract_y
_atom_site_fract_z
_atom_site_occupancy
Na1 Na 0.000 0.000 0.000 1
Na2 Na 0.333 0.667 0.667 1
Na3 Na 0.667 0.333 0.333 1
Ga1 Ga 0.000 0.000 0.168 1
Ga2 Ga 0.333 0.667 0.835 1
Ga3 Ga 0.667 0.333 0.501 1
Cl1 Cl 0.000 0.000 0.589 1
Cl2 Cl 0.000 0.000 0.747 1
Cl3 Cl 0.333 0.667 0.255 1
Cl4 Cl 0.333 0.667 0.413 1
Cl5 Cl 0.667 0.333 0.080 1
Cl6 Cl 0.667 0.333 0.922 1

(2)
# NaGa2Cl8 | Alexandria via LeMat-Bulk | GGA-PBE | relaxed
# * formation energy from raw total energies: -1.08 eV per atom
# * total energy: -3.0932 eV per atom
# * density of states at the Fermi level: 0.779 states/eV/atom
# * space group: C2/m (12)
data_NaGa2Cl8
_space_group_name_H-M_alt 'P 1'
_space_group_IT_number 1
_space_group_name_Hall 'P 1'
_cell_length_a 8.312
_cell_length_b 8.312
_cell_length_c 6.396
_cell_angle_alpha 102.37
_cell_angle_beta 102.37
_cell_angle_gamma 60.35
loop_
_atom_site_label
_atom_site_type_symbol
_atom_site_fract_x
_atom_site_fract_y
_atom_site_fract_z
_atom_site_occupancy
Na1 Na 0.000 0.000 0.000 1
Ga1 Ga 0.171 0.171 0.650 1
Ga2 Ga 0.829 0.829 0.350 1
Cl1 Cl 0.120 0.702 0.274 1
Cl2 Cl 0.176 0.176 0.312 1
Cl3 Cl 0.298 0.880 0.726 1
Cl4 Cl 0.315 0.315 0.865 1
Cl5 Cl 0.685 0.685 0.135 1
Cl6 Cl 0.702 0.120 0.274 1
Cl7 Cl 0.824 0.824 0.688 1
Cl8 Cl 0.880 0.298 0.726 1

(3)
# NaGaCl3 | Alexandria via LeMat-Bulk | GGA-PBE | relaxed
# * formation energy from raw total energies: -1.12 eV per atom
# * total energy: -3.1009 eV per atom
# * density of states at the Fermi level: 0.170 states/eV/atom
# * space group: Pm-3m (221)
data_NaGaCl3
_space_group_name_H-M_alt 'P 1'
_space_group_IT_number 1
_space_group_name_Hall 'P 1'
_cell_length_a 5.077
_cell_length_b 5.077
_cell_length_c 5.077
_cell_angle_alpha 90.00
_cell_angle_beta 90.00
_cell_angle_gamma 90.00
loop_
_atom_site_label
_atom_site_type_symbol
_atom_site_fract_x
_atom_site_fract_y
_atom_site_fract_z
_atom_site_occupancy
Na1 Na 0.000 0.000 0.000 1
Ga1 Ga 0.500 0.500 0.500 1
Cl1 Cl 0.000 0.500 0.500 1
Cl2 Cl 0.500 0.000 0.500 1
Cl3 Cl 0.500 0.500 0.000 1

Which value of total energy does entry 2 give?
-3.0932 eV per atom

Which formula does entry 3 have?
NaGaCl3

Which value of formation energy from raw total energies does entry 1 give?
-1.19 eV per atom